Record 1
# LaPrNbN3

A relaxed LaPrNbN3 crystal (GGA-PBE, Alexandria via LeMat-Bulk).

Cell: 7.838 3.630 7.951 Å, 90.00 95.23 90.00°
Atoms (fractional coordinates):
La  0.164  0.250  0.158
La  0.836  0.750  0.842
Pr  0.388  0.750  0.829
Pr  0.612  0.250  0.171
Nb  0.105  0.250  0.597
Nb  0.895  0.750  0.403
N  0.110  0.250  0.844
N  0.166  0.750  0.494
N  0.382  0.750  0.125
N  0.618  0.250  0.875
N  0.834  0.250  0.506
N  0.890  0.750  0.156

Values from the calculation:
Uncorrected formation energy (eV per atom): -1.016
Space group: P2_1/m (11)

***

Record 2
# La2PrNbN4

A relaxed La2PrNbN4 crystal (GGA-PBE, Alexandria via LeMat-Bulk).

Cell: 6.419 6.419 12.894 Å, 90.00 90.00 148.14°
Atoms (fractional coordinates):
La  0.132  0.868  0.534
La  0.132  0.868  0.966
La  0.868  0.132  0.034
La  0.868  0.132  0.466
Pr  0.400  0.600  0.750
Pr  0.600  0.400  0.250
Nb  0.335  0.665  0.250
Nb  0.665  0.335  0.750
N  0.065  0.935  0.750
N  0.232  0.768  0.136
N  0.232  0.768  0.364
N  0.500  0.500  0.000
N  0.500  0.500  0.500
N  0.768  0.232  0.636
N  0.768  0.232  0.864
N  0.935  0.065  0.250

Values from the calculation:
Uncorrected formation energy (eV per atom): -1.081
Space group: Cmcm (63)

***

Record 3
# LaPu2NbN4

A relaxed LaPu2NbN4 crystal (GGA-PBE, Alexandria via LeMat-Bulk).

Cell: 6.286 6.286 12.224 Å, 90.00 90.00 148.16°
Atoms (fractional coordinates):
La  0.098  0.902  0.750
La  0.902  0.098  0.250
Pu  0.370  0.630  0.538
Pu  0.370  0.630  0.962
Pu  0.630  0.370  0.038
Pu  0.630  0.370  0.462
Nb  0.163  0.837  0.250
Nb  0.837  0.163  0.750
N  0.000  0.000  0.000
N  0.000  0.000  0.500
N  0.262  0.738  0.120
N  0.262  0.738  0.380
N  0.442  0.558  0.750
N  0.558  0.442  0.250
N  0.738  0.262  0.620
N  0.738  0.262  0.880

Values from the calculation:
Uncorrected formation energy (eV per atom): -1.084
Space group: Cmcm (63)

***

Record 4
# LaPuNbN3

A relaxed LaPuNbN3 crystal (GGA-PBE, Alexandria via LeMat-Bulk).

Cell: 6.845 4.064 9.375 Å, 90.00 103.58 90.00°
Atoms (fractional coordinates):
La  0.153  0.250  0.398
La  0.847  0.750  0.602
Pu  0.355  0.250  0.858
Pu  0.645  0.750  0.142
Nb  0.125  0.750  0.075
Nb  0.875  0.250  0.925
N  0.012  0.750  0.250
N  0.064  0.250  0.629
N  0.345  0.750  0.965
N  0.655  0.250  0.035
N  0.936  0.750  0.371
N  0.988  0.250  0.750

Values from the calculation:
Uncorrected formation energy (eV per atom): -0.677
Space group: P2_1/m (11)

***

Record 5
# La2PuNbN5

A relaxed La2PuNbN5 crystal (GGA-PBE, Alexandria via LeMat-Bulk).

Cell: 7.318 7.318 10.850 Å, 90.00 90.00 151.77°
Atoms (fractional coordinates):
La  0.108  0.892  0.500
La  0.144  0.856  0.097
La  0.856  0.144  0.597
La  0.892  0.108  0.000
Pu  0.212  0.788  0.817
Pu  0.788  0.212  0.317
Nb  0.485  0.515  0.272
Nb  0.515  0.485  0.772
N  0.050  0.950  0.850
N  0.278  0.722  0.454
N  0.313  0.687  0.194
N  0.379  0.621  0.820
N  0.490  0.510  0.597
N  0.510  0.490  0.097
N  0.621  0.379  0.320
N  0.687  0.313  0.694
N  0.722  0.278  0.954
N  0.950  0.050  0.350

Values from the calculation:
Uncorrected formation energy (eV per atom): -1.234
Space group: Cmc2_1 (36)

***

Record 6
# RbLaNbN3

A relaxed RbLaNbN3 crystal (GGA-PBE, Alexandria via LeMat-Bulk).

Cell: 7.392 7.392 8.343 Å, 104.46 104.46 32.17°
Atoms (fractional coordinates):
Rb  0.147  0.147  0.066
Rb  0.853  0.853  0.934
La  0.159  0.159  0.583
La  0.841  0.841  0.417
Nb  0.493  0.493  0.691
Nb  0.507  0.507  0.309
N  0.011  0.011  0.330
N  0.340  0.340  0.619
N  0.364  0.364  0.229
N  0.636  0.636  0.771
N  0.660  0.660  0.381
N  0.989  0.989  0.670

Values from the calculation:
Uncorrected formation energy (eV per atom): -0.525
Space group: C2/m (12)

***

Record 7
# La2NbReN6

A relaxed La2NbReN6 crystal (GGA-PBE, Alexandria via LeMat-Bulk).

Cell: 5.708 5.698 9.848 Å, 90.00 125.30 90.00°
Atoms (fractional coordinates):
La  0.247  0.026  0.250
La  0.247  0.474  0.750
La  0.753  0.526  0.250
La  0.753  0.974  0.750
Nb  0.500  0.000  0.000
Nb  0.500  0.500  0.500
Re  0.000  0.000  0.500
Re  0.000  0.500  0.000
N  0.183  0.225  0.967
N  0.183  0.275  0.467
N  0.238  0.714  0.967
N  0.238  0.786  0.467
N  0.307  0.008  0.744
N  0.307  0.492  0.244
N  0.693  0.508  0.756
N  0.693  0.992  0.256
N  0.762  0.214  0.533
N  0.762  0.286  0.033
N  0.817  0.725  0.533
N  0.817  0.775  0.033

Values from the calculation:
Uncorrected formation energy (eV per atom): -0.889
Space group: P2_1/c (14)

***

Record 8
# La2NbRuN

A relaxed La2NbRuN crystal (GGA-PBE, Alexandria via LeMat-Bulk).

Cell: 5.764 5.764 3.753 Å, 90.00 90.00 90.00°
Atoms (fractional coordinates):
La  0.000  0.500  0.000
La  0.500  0.000  0.000
Nb  0.000  0.000  0.500
Ru  0.500  0.500  0.000
N  0.500  0.500  0.500

Values from the calculation:
Uncorrected formation energy (eV per atom): 0.499
Space group: P4/mmm (123)

***

Record 9
# LaNbSN2

A relaxed LaNbSN2 crystal (GGA-PBE, Alexandria via LeMat-Bulk).

Cell: 4.000 4.000 8.486 Å, 90.00 90.00 90.00°
Atoms (fractional coordinates):
La  0.000  0.000  0.000
Nb  0.000  0.000  0.500
S  0.500  0.500  0.500
N  0.000  0.500  0.000
N  0.500  0.000  0.000

Values from the calculation:
Energy relative to the lowest polymorph listed for this composition (meV/atom): 2103
Uncorrected formation energy (eV per atom): 1.148
Space group: P4/mmm (123)

***

Record 10
# LaNbSN2

A relaxed LaNbSN2 crystal (GGA-PBE, Alexandria via LeMat-Bulk).

Cell: 4.315 4.315 4.457 Å, 90.00 90.00 90.00°
Atoms (fractional coordinates):
La  0.000  0.000  0.000
Nb  0.500  0.500  0.000
S  0.500  0.500  0.500
N  0.000  0.500  0.500
N  0.500  0.000  0.500

Values from the calculation:
Energy relative to the lowest polymorph listed for this composition (meV/atom): 2034
Uncorrected formation energy (eV per atom): 1.079
Space group: P4/mmm (123)

***

Record 11
# LaNbSN2

A relaxed LaNbSN2 crystal (GGA-PBE, Alexandria via LeMat-Bulk).

Cell: 4.218 4.218 5.669 Å, 90.00 90.00 90.00°
Atoms (fractional coordinates):
La  0.000  0.000  0.000
Nb  0.500  0.500  0.500
S  0.000  0.000  0.500
N  0.000  0.500  0.000
N  0.500  0.000  0.000

Values from the calculation:
Energy relative to the lowest polymorph listed for this composition (meV/atom): 1885
Uncorrected formation energy (eV per atom): 0.930
Space group: P4/mmm (123)

***

Record 12
# LaNbS2N

A relaxed LaNbS2N crystal (GGA-PBE, Alexandria via LeMat-Bulk).

Cell: 4.915 4.915 4.000 Å, 90.00 90.00 90.00°
Atoms (fractional coordinates):
La  0.000  0.000  0.000
Nb  0.500  0.500  0.500
S  0.000  0.500  0.500
S  0.500  0.000  0.500
N  0.500  0.500  0.000

Values from the calculation:
Energy relative to the lowest polymorph listed for this composition (meV/atom): 0
Uncorrected formation energy (eV per atom): -1.199
Space group: P4/mmm (123)